A plane-wave DFT calculation with PBE was carried out for an optimized crystal structure of SrScTc2.

Cell: 3.732 4.708 11.646 Å, 90.00 90.00 90.00°
Space group Imm2 (No. 44)
Symmetry-distinct sites (fractional):
Sr1 0.000 0.000 0.000
Sc1 0.000 0.500 0.240
Tc1 0.000 0.000 0.371
Tc2 0.000 0.500 0.751

Calculated values
The calculation puts the total magnetization at 0.0 μB per cell. The calculation puts the density of states at the Fermi level at 6.8 states/eV per cell. The calculation puts the formation energy from the elements at 0.35 eV/atom.